! Na2SrLaGa, optimized geometry, DFT PBE; values from VASP
&SYSTEM
  ibrav = 0, nat = 5, ntyp = 4
/
ATOMIC_SPECIES
Na 22.99 Na.upf
La 138.91 La.upf
Sr 87.62 Sr.upf
Ga 69.72 Ga.upf
CELL_PARAMETERS angstrom
-2.9033 -5.8487 -1.6118
4.2796 -3.3270 4.3638
-4.4382 0.8294 4.9848
ATOMIC_POSITIONS crystal
Na 0.0000 0.0000 0.5000
La 0.0000 0.0000 0.0000
Sr 0.0000 0.5000 0.0000
Ga 0.5000 0.5000 0.5000
Na 0.5000 0.0000 0.0000
! V: 315 Å³/cell
! E_form: 1.046 eV/atom
! D(E_F): 1.18 states/eV per atom
! Crystal system: tetragonal